No. 1
OsOF2: single point on PBEsol structure, meta-GGA SCAN.

Symmetry ... Fm-3m
Spin magnetization ... 3.85 μB per formula unit
Formation energy without anion corrections ... 1.9 eV/f.u.
ΔE to the lowest computed polymorph ... 103 meV/atom

Lattice parameters (Å, degrees): 3.783 3.783 3.783 60.00 60.00 60.00
Each line ends with the local moment (μB).
Positions (direct):
Os1 0.500 0.500 0.500  3.23
O1 0.000 0.000 0.000  -0.03
F1 0.250 0.250 0.250  0.19
F2 0.750 0.750 0.750  0.19

***

No. 2
BePt3: single point on PBEsol structure, meta-GGA SCAN.

Symmetry ... I4/mmm
Spin magnetization ... 0.00 μB per formula unit
VASP energy ... -54.082 eV per atom

Lattice parameters (Å, degrees): 3.828 3.828 7.942 103.95 103.95 90.00
Positions (direct):
Be1 0.617 0.617 0.234
Be2 0.383 0.383 0.766
Pt1 0.875 0.875 0.750
Pt2 0.250 0.750 0.500
Pt3 0.500 0.000 0.000
Pt4 0.125 0.125 0.250
Pt5 0.750 0.250 0.500
Pt6 0.000 0.500 0.000

***

- Which formula does entry 1 have?
  OsOF2

***

- What is the spin magnetization in the second record?
  0.00 μB per formula unit